1.
The following is a DFT calculation (PBE) of an optimized crystal structure of PrAgAu.

a = 5.9369 Å, b = 5.9369 Å, c = 7.1340 Å
α = 126.37°, β = 126.37°, γ = 47.55°
Positions (direct):
Pr1 0.0356 0.0356 0.2876
Pr2 0.9644 0.9644 0.7124
Ag1 0.3372 0.3372 0.8813
Ag2 0.6628 0.6628 0.1187
Au1 0.3321 0.3321 0.3036
Au2 0.6679 0.6679 0.6964

Computed properties:
- space-group type = C2/m, No. 12
- total magnetization (μB per atom) = 0.00
- raw total energy (eV per cell) = -25.00

***

2.
The following is a DFT calculation (PBE) of an optimized crystal structure of RbCuTcIr.

a = 4.6815 Å, b = 4.6815 Å, c = 4.6815 Å
α = 60.00°, β = 60.00°, γ = 60.00°
Positions (direct):
Rb1 0.0000 0.0000 0.0000
Cu1 0.5000 0.5000 0.5000
Tc1 0.2500 0.2500 0.2500
Ir1 0.7500 0.7500 0.7500

Computed properties:
- space-group type = F-43m, No. 216
- total magnetization (μB per atom) = 0.85
- raw total energy (eV per cell) = -17.05

***

3.
The following is a DFT calculation (PBE) of an optimized crystal structure of GaTcO3.

a = 5.1314 Å, b = 5.1314 Å, c = 5.1314 Å
α = 63.63°, β = 63.63°, γ = 63.63°
Positions (direct):
Ga1 0.2500 0.2500 0.2500
Ga2 0.7500 0.7500 0.7500
Tc1 0.0000 0.0000 0.0000
Tc2 0.5000 0.5000 0.5000
O1 0.0973 0.7500 0.4027
O2 0.2500 0.5973 0.9027
O3 0.4027 0.0973 0.7500
O4 0.5973 0.9027 0.2500
O5 0.7500 0.4027 0.0973
O6 0.9027 0.2500 0.5973

Computed properties:
- space-group type = R-3c, No. 167
- total magnetization (μB per atom) = 0.19
- raw total energy (eV per cell) = -68.83

***

4.
The following is a DFT calculation (PBE) of an optimized crystal structure of PuBeTc.

a = 4.2146 Å, b = 4.2146 Å, c = 4.2146 Å
α = 60.00°, β = 60.00°, γ = 60.00°
Positions (direct):
Pu1 0.0000 0.0000 0.0000
Be1 0.7500 0.7500 0.7500
Tc1 0.2500 0.2500 0.2500

Computed properties:
- space-group type = F-43m, No. 216
- total magnetization (μB per atom) = 1.48
- raw total energy (eV per cell) = -25.41

***

5.
The following is a DFT calculation (PBE) of an optimized crystal structure of Nd3InAgHg2Pd2.

a = 3.9568 Å, b = 7.9131 Å, c = 7.9131 Å
α = 120.38°, β = 90.00°, γ = 90.00°
Positions (direct):
Nd1 0.0000 0.0000 0.0000
Nd2 0.0000 0.4004 0.8151
Nd3 0.0000 0.8151 0.4004
In1 0.5000 0.6643 0.6643
Ag1 0.0000 0.4096 0.4096
Hg1 0.5000 0.1383 0.4058
Hg2 0.5000 0.4058 0.1383
Pd1 0.5000 0.0598 0.7349
Pd2 0.5000 0.7349 0.0598

Computed properties:
- space-group type = Amm2, No. 38
- total magnetization (μB per atom) = 0.00
- raw total energy (eV per cell) = -36.48

***

6.
The following is a DFT calculation (PBE) of an optimized crystal structure of GdDyC2Br2.

a = 4.0186 Å, b = 4.0186 Å, c = 10.9147 Å
α = 97.96°, β = 97.96°, γ = 56.54°
Positions (direct):
Gd1 0.0000 0.0000 0.0000
Dy1 0.8087 0.8087 0.2695
C1 0.3185 0.3185 0.1037
C2 0.4927 0.4927 0.1706
Br1 0.1955 0.1955 0.4431
Br2 0.6146 0.6146 0.8237

Computed properties:
- space-group type = Cm, No. 8
- total magnetization (μB per atom) = 0.00
- raw total energy (eV per cell) = -37.53

***

What is the formula in the sixth record?
GdDyC2Br2

***

Among the records above, which one has the highest raw total energy?
RbCuTcIr

***

Among the records above, which one has the highest raw total energy?
RbCuTcIr